1.
An optimized crystal structure of MnNbSi3, computed with GGA-PBE.

Lattice parameters (Å, degrees): 4.358 4.358 4.358 90.00 90.00 90.00
Space group Pm-3m (No. 221)
Inequivalent atoms, fractional coordinates:
Mn 0.000 0.000 0.000 (multiplicity 1)
Nb 0.500 0.500 0.500 (multiplicity 1)
Si 0.000 0.000 0.500 (multiplicity 3)

## Properties
formation energy (no corrections): 3.0 eV/f.u.
size of the total moment: 3.74 μB per formula unit
polymorph energy (0 for the lowest one): 0.000 eV per atom
Fermi-level density of states: 4.99 states/eV per cell

***

2.
An optimized crystal structure of NaCaSnAu, computed with GGA-PBE.

Lattice parameters (Å, degrees): 7.136 7.136 7.136 90.00 90.00 90.00
Space group F-43m (No. 216)
Inequivalent atoms, fractional coordinates:
Na 0.000 0.000 0.000 (multiplicity 4)
Ca 0.250 0.250 0.750 (multiplicity 4)
Sn 0.250 0.250 0.250 (multiplicity 4)
Au 0.000 0.000 0.500 (multiplicity 4)

## Properties
formation energy from the elements: -0.4817 eV/atom
size of the total moment: 0.00 μB per formula unit
Fermi-level density of states: 3.76 states/eV per cell

***

3.
An optimized crystal structure of TbDy2Pa, computed with GGA-PBE.

Lattice parameters (Å, degrees): 3.4322 3.4322 34.5478 90.00 90.00 120.00
Space group R3m (No. 160, hexagonal axes)
Inequivalent atoms, fractional coordinates:
Tb 0.0000 0.0000 0.0000 (multiplicity 3)
Dy 0.0000 0.0000 0.4193 (multiplicity 3)
Dy 0.0000 0.0000 0.5805 (multiplicity 3)
Pa 0.0000 0.0000 0.1661 (multiplicity 3)

## Properties
formation energy from the elements: 0.1138 eV/atom
size of the total moment: 0.00 μB per formula unit
polymorph energy (0 for the lowest one): 0.000 eV per atom
Fermi-level density of states: 18.74 states/eV per cell

***

4.
An optimized crystal structure of SrZnCu3, computed with GGA-PBE.

Lattice parameters (Å, degrees): 4.975 9.140 8.573 90.00 90.00 90.00
Space group Imma (No. 74)
Inequivalent atoms, fractional coordinates:
Sr 0.000 0.250 0.057 (multiplicity 4)
Zn 0.000 0.000 0.500 (multiplicity 4)
Cu 0.000 0.250 0.672 (multiplicity 4)
Cu 0.250 0.027 0.750 (multiplicity 8)

## Properties
formation energy from the elements: -0.0845 eV/atom
size of the total moment: 0.00 μB per formula unit
polymorph energy (0 for the lowest one): 0.000 eV per atom
Fermi-level density of states: 8.99 states/eV per cell

***

What did the third record say?
An optimized crystal structure of TbDy2Pa, computed with GGA-PBE.

Lattice parameters (Å, degrees): 3.4322 3.4322 34.5478 90.00 90.00 120.00
Space group R3m (No. 160, hexagonal axes)
Inequivalent atoms, fractional coordinates:
Tb 0.0000 0.0000 0.0000 (multiplicity 3)
Dy 0.0000 0.0000 0.4193 (multiplicity 3)
Dy 0.0000 0.0000 0.5805 (multiplicity 3)
Pa 0.0000 0.0000 0.1661 (multiplicity 3)

## Properties
formation energy from the elements: 0.1138 eV/atom
size of the total moment: 0.00 μB per formula unit
polymorph energy (0 for the lowest one): 0.000 eV per atom
Fermi-level density of states: 18.74 states/eV per cell